DFT (GGA-PBE) results for Na4MgAlPt2 after structural relaxation.

It has space group P-4m2 (No. 115), with a = 4.715 Å, b = 4.715 Å, c = 6.671 Å, α = 90.00°, β = 90.00° and γ = 90.00°. The asymmetric unit holds Na at (0.000, 0.000, 0.000), Na at (0.000, 0.500, 0.748), Na at (0.500, 0.500, 0.500), Mg at (0.500, 0.500, 0.000), Al at (0.000, 0.000, 0.500) and Pt at (0.000, 0.500, 0.269).

The calculation puts the calculated volume at 18.5 A^3/atom. The value obtained for the uncorrected energy is -24.3 eV per cell.